Record 1
VASP calculation (PBE) on Sr2Ga3SiPt4 after structural relaxation.

Unit cell a=4.461 b=4.461 c=10.015 alpha=90.00 beta=90.00 gamma=90.00
Atoms (fractional coordinates):
Sr  0.000  0.500  0.249
Sr  0.500  0.000  0.751
Ga  0.000  0.500  0.874
Ga  0.500  0.000  0.126
Ga  0.500  0.500  0.500
Si  0.000  0.000  0.500
Pt  0.000  0.000  0.000
Pt  0.000  0.500  0.618
Pt  0.500  0.000  0.382
Pt  0.500  0.500  0.000

The total energy is -5.08 eV per atom. The volume is 199.3 Å³/cell. The calculation puts the uncorrected formation energy at -0.875 eV/atom. The size of the total moment is 0.000 μB/f.u.


Record 2
VASP calculation (PBE) on SrGa2SiPt after structural relaxation.

Unit cell a=4.808 b=4.808 c=5.823 alpha=90.00 beta=90.00 gamma=90.00
Atoms (fractional coordinates):
Sr  0.000  0.000  0.000
Ga  0.000  0.500  0.500
Ga  0.500  0.000  0.500
Si  0.500  0.500  0.000
Pt  0.000  0.000  0.500

The total energy is -3.93 eV per atom. The calculation puts the distance to the lowest polymorph of the same formula at 513 meV per atom. The volume is 134.6 Å³/cell. The calculation puts the uncorrected formation energy at -0.093 eV/atom. The size of the total moment is 0.006 μB/f.u.